{
  "formula": "Ti2CdAgH",
  "functional": "PBE",
  "state": "relaxed",
  "cell": [[4.0814, 0.0000, 0.0000], [0.0000, 4.0814, 0.0000], [0.0000, 0.0000, 4.3862]],
  "species": ["Ag", "H", "Ti", "Cd", "Ti"],
  "fractional_positions": [[0.0000, 0.0000, 0.5000], [0.0000, 0.0000, 0.0000], [0.0000, 0.5000, 0.0000], [0.5000, 0.5000, 0.5000], [0.5000, 0.0000, 0.0000]]
}


{
  "formula": "TlCdAg2H",
  "functional": "PBE",
  "state": "relaxed",
  "cell": [[-0.6319, -0.6419, 4.0502], [-3.9336, -1.0633, -0.7822], [1.5224, -5.2006, -0.5867]],
  "species": ["Tl", "H", "Ag", "Cd", "Ag"],
  "fractional_positions": [[0.5000, 0.5000, 0.5000], [0.0000, 0.0000, 0.0000], [0.0000, 0.5000, 0.0000], [0.0000, 0.0000, 0.5000], [0.5000, 0.0000, 0.0000]]
}


{
  "formula": "VCdAgH2",
  "functional": "PBE",
  "state": "relaxed",
  "cell": [[-1.6508, 1.2799, -3.1226], [-3.1778, -4.6403, -0.2221], [-2.6249, 1.6979, 2.0836]],
  "species": ["H", "V", "Ag", "Cd", "H"],
  "fractional_positions": [[0.5000, 0.0000, 0.0000], [0.0000, 0.0000, 0.0000], [0.5000, 0.5000, 0.5000], [0.0000, 0.5000, 0.0000], [0.0000, 0.0000, 0.5000]]
}


{
  "formula": "Y2CdAgH",
  "functional": "PBE",
  "state": "relaxed",
  "cell": [[4.9699, 0.0000, 0.0000], [0.0000, 4.9699, 0.0000], [0.0000, 0.0000, 4.1112]],
  "species": ["H", "Cd", "Y", "Ag", "Y"],
  "fractional_positions": [[0.0000, 0.0000, 0.0000], [0.5000, 0.5000, 0.5000], [0.0000, 0.5000, 0.0000], [0.0000, 0.0000, 0.5000], [0.5000, 0.0000, 0.0000]]
}


{
  "formula": "Y2CdAgH",
  "functional": "PBE",
  "state": "relaxed",
  "cell": [[-2.8135, 1.1721, -3.8422], [3.5530, -1.4624, -3.0479], [-1.6159, -3.9077, -0.0088]],
  "species": ["Cd", "Y", "Y", "Ag", "H"],
  "fractional_positions": [[0.0000, 0.0000, 0.5000], [0.0000, 0.5000, 0.0000], [0.5000, 0.0000, 0.0000], [0.5000, 0.5000, 0.5000], [0.0000, 0.0000, 0.0000]]
}


{
  "formula": "ZrCdAg2H",
  "functional": "PBE",
  "state": "relaxed",
  "cell": [[-2.7197, -1.0247, 3.5980], [2.9535, -3.3184, 1.2874], [1.9415, 2.5828, 2.2032]],
  "species": ["Ag", "H", "Zr", "Ag", "Cd"],
  "fractional_positions": [[0.5000, 0.0000, 0.0000], [0.0000, 0.0000, 0.0000], [0.0000, 0.0000, 0.5000], [0.0000, 0.5000, 0.0000], [0.5000, 0.5000, 0.5000]]
}


{
  "formula": "HfCd2Ag2",
  "functional": "PBE",
  "state": "relaxed",
  "cell": [[3.9489, 0.0000, 0.0000], [0.0000, 3.9489, 0.0000], [-1.9745, -1.9745, 6.7599]],
  "species": ["Ag", "Cd", "Cd", "Ag", "Hf"],
  "fractional_positions": [[0.4030, 0.4030, 0.8061], [0.7500, 0.2500, 0.5000], [0.2500, 0.7500, 0.5000], [0.5970, 0.5970, 0.1939], [0.0000, 0.0000, 0.0000]],
  "delta_e_f_ev_per_fu": 1.2
}


{
  "formula": "Hf2Cd2Ag",
  "functional": "PBE",
  "state": "relaxed",
  "cell": [[3.0905, 0.0000, -0.4959], [-0.0796, 3.0895, -0.4959], [0.1569, 0.1610, 10.8564]],
  "species": ["Cd", "Hf", "Hf", "Ag", "Cd"],
  "fractional_positions": [[0.4076, 0.4076, 0.8152], [0.8003, 0.8003, 0.6006], [0.1997, 0.1997, 0.3994], [0.0000, 0.0000, 0.0000], [0.5924, 0.5924, 0.1848]],
  "delta_e_f_ev_per_fu": -0.5
}


{
  "formula": "Hf3CdAg",
  "functional": "PBE",
  "state": "relaxed",
  "cell": [[-1.2406, -0.6186, 4.8976], [4.3433, -2.5368, 0.7798], [2.3461, 4.3692, 1.1461]],
  "species": ["Hf", "Cd", "Hf", "Hf", "Ag"],
  "fractional_positions": [[0.5000, 0.0000, 0.0000], [0.5000, 0.5000, 0.5000], [0.0000, 0.5000, 0.0000], [0.0000, 0.0000, 0.5000], [0.0000, 0.0000, 0.0000]],
  "delta_e_f_ev_per_fu": 4.8
}


{
  "formula": "HfCd2Ag2",
  "functional": "PBE",
  "state": "relaxed",
  "cell": [[-1.0347, -5.0965, -0.7416], [4.9744, -1.4961, -0.7826], [2.9730, -4.9316, 2.6478]],
  "species": ["Cd", "Cd", "Hf", "Ag", "Ag"],
  "fractional_positions": [[0.1973, 0.8028, 0.5000], [0.8027, 0.1972, 0.5000], [0.0000, 0.0000, 0.0000], [0.5002, 0.5002, 0.2142], [0.4998, 0.4998, 0.7858]],
  "delta_e_f_ev_per_fu": 0.7
}


{
  "formula": "HfCdAg3",
  "functional": "PBE",
  "state": "relaxed",
  "cell": [[-2.9566, 3.9378, 1.9531], [-0.5959, -2.6911, 4.5238], [4.3550, 2.3051, 1.9450]],
  "species": ["Hf", "Ag", "Ag", "Cd", "Ag"],
  "fractional_positions": [[0.0000, 0.0000, 0.0000], [0.0000, 0.0000, 0.5000], [0.0000, 0.5000, 0.0000], [0.5000, 0.5000, 0.5000], [0.5000, 0.0000, 0.0000]],
  "delta_e_f_ev_per_fu": 5.3
}


{
  "formula": "HfCdAg",
  "functional": "PBE",
  "state": "relaxed",
  "cell": [[3.0707, 0.0000, 0.0000], [0.0000, 3.0707, 0.0000], [-1.5353, -1.5353, 6.3764]],
  "species": ["Ag", "Cd", "Hf"],
  "fractional_positions": [[0.6664, 0.6664, 0.3328], [0.3282, 0.3282, 0.6564], [0.0054, 0.0054, 0.0107]],
  "delta_e_f_ev_per_fu": 0.0
}


{
  "formula": "HfCdAg",
  "functional": "PBE",
  "state": "relaxed",
  "cell": [[3.0461, 0.0000, 0.0000], [-1.5230, 2.6380, 0.0000], [0.0000, 0.0000, 7.5956]],
  "species": ["Hf", "Ag", "Cd"],
  "fractional_positions": [[0.6667, 0.3333, 0.3408], [0.3333, 0.6667, 0.6669], [0.0000, 0.0000, 0.9923]],
  "delta_e_f_ev_per_fu": 0.2
}


{
  "formula": "Hf2Cd2Ag",
  "functional": "PBE",
  "state": "relaxed",
  "cell": [[7.0882, 0.0000, 0.0000], [0.0000, 7.0882, 0.0000], [0.0000, 0.0000, 4.2521]],
  "species": ["Hf", "Hf", "Ag", "Cd", "Cd", "Hf", "Cd", "Cd", "Hf", "Ag"],
  "fractional_positions": [[0.6636, 0.8364, 0.5000], [0.3364, 0.1636, 0.5000], [0.0000, 0.0000, 0.0000], [0.6386, 0.1386, 0.0000], [0.3614, 0.8614, 0.0000], [0.8364, 0.3364, 0.5000], [0.8614, 0.6386, 0.0000], [0.1386, 0.3614, 0.0000], [0.1636, 0.6636, 0.5000], [0.5000, 0.5000, 0.0000]],
  "delta_e_f_ev_per_fu": 1.0
}


{
  "formula": "HfCdAg3",
  "functional": "PBE",
  "state": "relaxed",
  "cell": [[4.9885, 0.0000, 0.0000], [0.0000, 4.9885, 0.0000], [0.0000, 0.0000, 4.9885]],
  "species": ["Hf", "Ag", "Ag", "Ag", "Cd"],
  "fractional_positions": [[0.5000, 0.5000, 0.5000], [0.0000, 0.5000, 0.0000], [0.0000, 0.0000, 0.5000], [0.5000, 0.0000, 0.0000], [0.0000, 0.0000, 0.0000]],
  "delta_e_f_ev_per_fu": 4.9
}


{
  "formula": "Hf2CdAg2",
  "functional": "PBE",
  "state": "relaxed",
  "cell": [[4.0922, 0.0000, -0.6311], [-0.0973, 4.0911, -0.6311], [-1.0095, -1.0338, 7.0375]],
  "species": ["Cd", "Hf", "Hf", "Ag", "Ag"],
  "fractional_positions": [[0.0000, 0.0000, 0.0000], [0.7500, 0.2500, 0.5000], [0.2500, 0.7500, 0.5000], [0.5993, 0.5993, 0.1986], [0.4007, 0.4007, 0.8014]],
  "delta_e_f_ev_per_fu": 1.8
}


{
  "formula": "Hf2Cd2Ag",
  "functional": "PBE",
  "state": "relaxed",
  "cell": [[8.7757, 0.0000, 0.0000], [0.0000, 8.7757, 0.0000], [0.0000, 0.0000, 2.9431]],
  "species": ["Cd", "Hf", "Cd", "Cd", "Cd", "Hf", "Hf", "Hf", "Ag", "Ag"],
  "fractional_positions": [[0.8260, 0.3260, 0.5000], [0.3776, 0.8776, 0.0000], [0.6740, 0.8260, 0.5000], [0.1740, 0.6740, 0.5000], [0.3260, 0.1740, 0.5000], [0.1224, 0.3776, 0.0000], [0.6224, 0.1224, 0.0000], [0.8776, 0.6224, 0.0000], [0.5000, 0.5000, 0.0000], [0.0000, 0.0000, 0.0000]],
  "delta_e_f_ev_per_fu": 1.8
}


{
  "formula": "HfCd2Ag2",
  "functional": "PBE",
  "state": "relaxed",
  "cell": [[-4.4777, 5.2144, 4.3898], [-5.6620, 0.0789, -5.8691], [-1.4013, -2.3153, 1.3208]],
  "species": ["Cd", "Hf", "Cd", "Ag", "Cd", "Ag", "Cd", "Hf", "Ag", "Ag"],
  "fractional_positions": [[0.3274, 0.1726, 0.5000], [0.0000, 0.0000, 0.0000], [0.6726, 0.8274, 0.5000], [0.1258, 0.3742, 0.0000], [0.8274, 0.3274, 0.5000], [0.3742, 0.8742, 0.0000], [0.1726, 0.6726, 0.5000], [0.5000, 0.5000, 0.0000], [0.8742, 0.6258, 0.0000], [0.6258, 0.1258, 0.0000]],
  "delta_e_f_ev_per_fu": 0.5
}


{
  "formula": "HfCdAg",
  "functional": "PBE",
  "state": "relaxed",
  "cell": [[-0.0108, 2.1733, 2.2021], [-1.3364, -1.9893, 1.9568], [11.5246, -3.9001, 3.9055]],
  "species": ["Cd", "Cd", "Hf", "Hf", "Ag", "Ag"],
  "fractional_positions": [[0.5000, 0.0000, 0.7317], [0.0000, 0.5000, 0.2683], [0.5000, 0.0000, 0.0837], [0.0000, 0.5000, 0.9163], [0.5000, 0.0000, 0.4249], [0.0000, 0.5000, 0.5751]],
  "delta_e_f_ev_per_fu": -0.2
}


{
  "formula": "HfCd3Ag2",
  "functional": "PBE",
  "state": "relaxed",
  "cell": [[-2.5636, -0.9404, -1.4592], [1.0118, -2.9240, 0.1068], [-5.7081, -1.5721, 11.0415]],
  "species": ["Ag", "Cd", "Ag", "Cd", "Cd", "Hf"],
  "fractional_positions": [[0.5000, 0.5000, 0.8380], [0.0000, 0.0000, 0.6762], [0.5000, 0.5000, 0.1620], [0.0000, 0.0000, 0.0000], [0.0000, 0.0000, 0.3238], [0.5000, 0.5000, 0.5000]],
  "delta_e_f_ev_per_fu": -0.2
}


Number 1: total energy -23.136 eV/cell, magnetic moment 0.0 μB per formula unit, V 73.1 Å³/cell. Number 2: total energy -11.001 eV/cell, magnetic moment 0.0 μB per formula unit, V 93.8 Å³/cell. Number 3: total energy -16.837 eV/cell, magnetic moment 2.7 μB per formula unit, V 79.4 Å³/cell. Number 4: total energy -21.557 eV/cell, magnetic moment 0.5 μB per formula unit, V 101.5 Å³/cell. Number 5: total energy -21.288 eV/cell, magnetic moment 0.6 μB per formula unit, V 101.7 Å³/cell. Number 6: total energy -18.518 eV/cell, magnetic moment 0.0 μB per formula unit, V 83.7 Å³/cell. Number 7: total energy -16.281 eV/cell, magnetic moment 0.0 μB per formula unit, V 105.4 Å³/cell. Number 8: total energy -25.042 eV/cell, magnetic moment 0.0 μB per formula unit, V 104.2 Å³/cell. Number 9: total energy -28.845 eV/cell, magnetic moment 0.0 μB per formula unit, V 131.9 Å³/cell. Number 10: total energy -16.764 eV/cell, magnetic moment 0.0 μB per formula unit, V 102.0 Å³/cell. Number 11: total energy -14.084 eV/cell, magnetic moment 0.0 μB per formula unit, V 148.7 Å³/cell. Number 12: total energy -13.690 eV/cell, magnetic moment 0.1 μB per formula unit, V 60.1 Å³/cell. Number 13: total energy -13.506 eV/cell, magnetic moment 0.0 μB per formula unit, V 61.0 Å³/cell. Number 14: total energy -47.154 eV/cell, magnetic moment 0.0 μB per formula unit, V 213.6 Å³/cell. Number 15: total energy -14.535 eV/cell, magnetic moment 0.9 μB per formula unit, V 124.1 Å³/cell. Number 16: total energy -24.710 eV/cell, magnetic moment 0.0 μB per formula unit, V 112.5 Å³/cell. Number 17: total energy -45.487 eV/cell, magnetic moment 0.0 μB per formula unit, V 226.7 Å³/cell. Number 18: total energy -33.916 eV/cell, magnetic moment 0.0 μB per formula unit, V 200.3 Å³/cell. Number 19: total energy -27.852 eV/cell, magnetic moment 0.0 μB per formula unit, V 122.3 Å³/cell. Number 20: total energy -18.618 eV/cell, magnetic moment 0.0 μB per formula unit, V 120.1 Å³/cell.